A plane-wave DFT calculation with PBE was carried out for crystalline ZnSbOs at its relaxed geometry.

Cell: 3.1419 3.1419 6.5288 Å, 90.00 90.00 120.00°
Space group P3m1 (No. 156)
Unique sites:
Zn  0.0000  0.0000  0.0000
Sb  0.3333  0.6667  0.5959
Os  0.6667  0.3333  0.2950

Properties
Its excess energy over the best structure of this formula in the dataset is 183.6 meV/atom. The calculation puts the formation energy (no corrections) at 0.39 eV per atom. The density of states at the Fermi level is 1.901 states/eV per cell. The calculation puts the total energy at -5.15 eV/atom.

***

A plane-wave DFT calculation with PBE was carried out for crystalline CrB at its relaxed geometry.

Cell: 5.6006 5.6006 5.6006 Å, 90.00 90.00 90.00°
Space group Pm-3n (No. 223)
Unique sites:
Cr  0.0000  0.2500  0.5000
B  0.0000  0.5000  0.2500

Properties
For the formation energy, the calculation gives 1003 meV/atom. The density of states at the Fermi level is 10.407 states/eV per cell. The calculation puts the total energy at -7.15 eV/atom.